## CaEuDyVO6 (PBE with a Hubbard U)

Data for a geometry-optimized CaEuDyVO6 structure.

a = 5.767 Å, b = 5.767 Å, c = 5.767 Å
α = 60.00°, β = 60.00°, γ = 60.00°
Site moments in Bohr magnetons follow the coordinates.
Element x y z (fractional)
V1 0.500 0.500 0.500  0.26
O1 0.268 0.732 0.732  -0.02
O2 0.268 0.732 0.268  -0.02
O3 0.732 0.268 0.268  -0.02
O4 0.732 0.268 0.732  -0.02
O5 0.732 0.732 0.268  -0.02
O6 0.268 0.268 0.732  -0.02
Ca1 0.250 0.250 0.250  0.00
Eu1 0.750 0.750 0.750  6.73
Dy1 0.000 0.000 0.000  0.02

Computed properties:
DFT total energy	-8.082	eV per atom
N(E_F)	13.18	states/eV per cell